LiMg4Cr (PBE, relaxed); crystal system = cubic; formation energy from the elements = 0.308 eV per atom; VASP energy = -2.678 eV/atom
1.0
0.0000 4.0673 4.0673
4.0673 0.0000 4.0673
4.0673 4.0673 0.0000
Li Mg Cr
1 4 1
Direct
0.0000 0.0000 0.0000
0.1254 0.6249 0.6249
0.6249 0.1254 0.6249
0.6249 0.6249 0.1254
0.6249 0.6249 0.6249
0.2500 0.2500 0.2500

Li2MgCr (PBE, relaxed); crystal system = tetragonal; formation energy from the elements = 0.316 eV per atom; VASP energy = -3.445 eV/atom
1.0
-2.0829 2.0829 4.2923
2.0829 -2.0829 4.2923
2.0829 2.0829 -4.2923
Li Mg Cr
2 1 1
Direct
0.0000 0.0000 0.0000
0.7500 0.2500 0.5000
0.2500 0.7500 0.5000
0.5000 0.5000 0.0000

Li2MgCr (PBE, relaxed); crystal system = orthorhombic; formation energy from the elements = 0.309 eV per atom; VASP energy = -3.452 eV/atom
1.0
-1.5814 2.4404 4.9067
1.5814 -2.4404 4.9067
1.5814 2.4404 -4.9067
Li Mg Cr
2 1 1
Direct
0.2464 0.2464 0.0000
0.7536 0.7536 0.0000
0.5000 0.0000 0.5000
0.0000 0.5000 0.5000

Li2MgCr (PBE, relaxed); crystal system = tetragonal; formation energy from the elements = 0.491 eV per atom; VASP energy = -3.270 eV/atom
1.0
-3.6908 3.6908 2.8543
3.6908 -3.6908 2.8543
3.6908 3.6908 -2.8543
Li Mg Cr
4 2 2
Direct
0.1187 0.1250 0.4937
0.3750 0.8813 0.0063
0.6313 0.6250 0.5063
0.8750 0.3687 0.9937
0.2500 0.7500 0.5000
0.5000 0.5000 0.0000
0.0000 0.0000 0.0000
0.7500 0.2500 0.5000

LiMgCr4 (PBE, relaxed); crystal system = cubic; formation energy from the elements = 0.524 eV per atom; VASP energy = -6.476 eV/atom
1.0
0.0000 3.4474 3.4474
3.4474 0.0000 3.4474
3.4474 3.4474 0.0000
Li Mg Cr
1 1 4
Direct
0.0000 0.0000 0.0000
0.7500 0.7500 0.7500
0.3737 0.3737 0.3737
0.3737 0.3737 0.8789
0.3737 0.8789 0.3737
0.8789 0.3737 0.3737

LiMgCr (PBE, relaxed); crystal system = orthorhombic; formation energy from the elements = 0.412 eV per atom; excess energy over the best structure of this formula in the dataset = 7 meV per atom; VASP energy = -3.965 eV/atom
1.0
-1.5229 2.0274 4.5272
1.5229 -2.0274 4.5272
1.5229 2.0274 -4.5272
Li Mg Cr
1 1 1
Direct
0.0000 0.0000 0.0000
0.6720 0.6720 0.0000
0.3389 0.3389 0.0000

LiMg14Cr (PBE, relaxed); crystal system = hexagonal; formation energy from the elements = 0.049 eV per atom; excess energy over the best structure of this formula in the dataset = 0 meV per atom; VASP energy = -2.067 eV/atom
1.0
6.2913 0.0000 0.0000
-3.1457 5.4484 0.0000
0.0000 0.0000 10.2963
Li Mg Cr
1 14 1
Direct
0.0000 0.0000 0.0000
0.0019 0.5009 0.0000
0.1637 0.3274 0.2536
0.1637 0.3274 0.7464
0.1637 0.8363 0.2536
0.1637 0.8363 0.7464
0.4991 0.5009 0.0000
0.4991 0.9981 0.0000
0.5004 0.0008 0.5000
0.5004 0.4996 0.5000
0.6667 0.3333 0.2475
0.6667 0.3333 0.7525
0.6726 0.8363 0.2536
0.6726 0.8363 0.7464
0.9992 0.4996 0.5000
0.0000 0.0000 0.5000